1.
# In2TeBr (PBE, relaxed)
data_In2TeBr
_chemical_formula_sum 'In8 Te4 Br4'
_cell_length_a 8.170
_cell_length_b 8.170
_cell_length_c 8.654
_cell_angle_alpha 90.00
_cell_angle_beta 90.00
_cell_angle_gamma 90.00
_symmetry_space_group_name_H-M 'I -4 2 d'
_symmetry_Int_Tables_number 122
_symmetry_space_group_name_Hall 'I -4 2bw'
loop_
_atom_site_label
_atom_site_fract_x
_atom_site_fract_y
_atom_site_fract_z
In1 0.244 0.250 0.125
Te1 0.000 0.000 0.000
Br1 0.000 0.000 0.500
# Raw formation energy in meV per atom: -277



2.
# CsCdPPt2 (PBE, relaxed)
data_CsCdPPt2
_chemical_formula_sum 'Cs1 Cd1 P1 Pt2'
_cell_length_a 5.271
_cell_length_b 5.271
_cell_length_c 4.956
_cell_angle_alpha 90.00
_cell_angle_beta 90.00
_cell_angle_gamma 90.00
_symmetry_space_group_name_H-M 'P 4/m m m'
_symmetry_Int_Tables_number 123
_symmetry_space_group_name_Hall '-P 4 2'
loop_
_atom_site_label
_atom_site_fract_x
_atom_site_fract_y
_atom_site_fract_z
Cs1 0.000 0.000 0.000
Cd1 0.500 0.500 0.500
P1 0.500 0.500 0.000
Pt1 0.000 0.500 0.500
# E_form in meV/atom: 793



3.
Below is a relaxed LiAgH2Pd crystal, with properties calculated at the PBE level.

Cell and atoms, written as CIF:
```
data_LiAgH2Pd
_chemical_formula_sum 'Li1 Ag1 H2 Pd1'
_cell_length_a 3.747
_cell_length_b 3.747
_cell_length_c 4.534
_cell_angle_alpha 90.00
_cell_angle_beta 90.00
_cell_angle_gamma 90.00
_symmetry_space_group_name_H-M 'P 4/m m m'
_symmetry_Int_Tables_number 123
_symmetry_space_group_name_Hall '-P 4 2'
loop_
_atom_site_label
_atom_site_fract_x
_atom_site_fract_y
_atom_site_fract_z
Li1 0.000 0.000 0.000
Ag1 0.000 0.000 0.500
H1 0.000 0.500 0.000
Pd1 0.500 0.500 0.500
```



4.
# KAcTe2 (PBE, relaxed)
data_KAcTe2
_chemical_formula_sum 'K4 Ac4 Te8'
_cell_length_a 8.214
_cell_length_b 8.214
_cell_length_c 8.214
_cell_angle_alpha 90.00
_cell_angle_beta 90.00
_cell_angle_gamma 90.00
_symmetry_space_group_name_H-M 'F m -3 m'
_symmetry_Int_Tables_number 225
_symmetry_space_group_name_Hall '-F 4 2 3'
loop_
_atom_site_label
_atom_site_fract_x
_atom_site_fract_y
_atom_site_fract_z
K1 0.000 0.000 0.000
Ac1 0.000 0.000 0.500
Te1 0.250 0.250 0.250
# Raw formation energy in meV per atom: -1304



| no. | ρ (g/cm3) | raw total energy (Ha/atom) |
| --- | --- | --- |
| 1 | 5.03 | -0.105 |
| 2 | 8.04 | -0.112 |
| 3 | 5.82 | -0.099 |
| 4 | 6.25 | -0.153 |